# 1
First-principles (PBE) data for an optimized crystal structure of Tb2ErTl3CuNi2, as listed in OQMD via LeMat-Bulk.

M_tot: 0.02 Bohr magnetons per cell
V: 20.91 Å³ per atom
energy: -4.305 eV/atom

Cell lengths 3.8158, 13.0679, 7.5463 Å; angles 90.00, 90.00, 90.00 degrees
With the nearest neighbours (Å) after each atom.
Space group Amm2 (No. 38)
One atom of each set of equivalent atoms:
Tb (0.0000, 0.2061, 0.0000)  4 Ni 2.97-2.98, 2 Tl 3.11, 1 Cu 3.11
Er (0.0000, 0.0000, 0.3815)  4 Ni 2.96, 2 Tl 3.10, 1 Cu 3.10
Tl (0.5000, 0.0000, 0.0580)  2 Cu 2.76, 2 Ni 2.80
Tl (0.5000, 0.1310, 0.6615)  2 Cu 2.75, 2 Ni 2.81-2.84
Cu (0.0000, 0.0000, 0.7928)  6 Tl 2.75-2.76
Ni (0.5000, 0.1657, 0.2939)  3 Tl 2.80-2.84, 2 Er 2.96, 4 Tb 2.97-2.98

# 2
First-principles (PBE) data for an optimized crystal structure of Tb2ErZn3Cu2Ni, as listed in OQMD via LeMat-Bulk.

M_tot: 0.02 Bohr magnetons per cell
energy of formation from the pure elements: -0.37 eV/atom
V: 18.48 Å³ per atom
energy: -3.767 eV/atom

Cell lengths 3.8805, 12.1868, 7.0324 Å; angles 90.00, 90.00, 90.00 degrees
With the nearest neighbours (Å) after each atom.
Space group Amm2 (No. 38)
One atom of each set of equivalent atoms:
Tb (0.0000, 0.2034, 0.0000)  1 Ni 2.87, 4 Cu 2.90, 6 Zn 3.16-3.17
Er (0.0000, 0.0000, 0.6075)  1 Ni 2.83, 4 Cu 2.87, 4 Zn 3.14
Zn (0.5000, 0.0000, 0.9650)  2 Ni 2.57, 2 Cu 2.73
Zn (0.5000, 0.1186, 0.3227)  2 Ni 2.56, 2 Cu 2.73-2.78
Cu (0.5000, 0.1643, 0.7020)  3 Zn 2.73-2.78, 2 Er 2.87, 4 Tb 2.90
Ni (0.0000, 0.0000, 0.2054)  6 Zn 2.56-2.57, 1 Er 2.83

# 3
First-principles (PBE) data for an optimized crystal structure of ErCuOs, as listed in OQMD via LeMat-Bulk.

M_tot: 0.33 Bohr magnetons per cell
energy of formation from the pure elements: 0.55 eV/atom
V: 20.36 Å³ per atom
ΔE to the lowest computed polymorph: 0.421 eV/atom
energy: -5.952 eV/atom

Cell lengths 6.2519, 6.2519, 6.2519 Å; angles 90.00, 90.00, 90.00 degrees
With the nearest neighbours (Å) after each atom.
Space group F-43m (No. 216)
One atom of each set of equivalent atoms:
Er (0.0000, 0.0000, 0.0000)  4 Os 2.71
Cu (0.0000, 0.0000, 0.5000)  4 Os 2.71
Os (0.2500, 0.2500, 0.7500)  4 Er 2.71, 4 Cu 2.71

# 4
First-principles (PBE) data for an optimized crystal structure of ErCuOs, as listed in OQMD via LeMat-Bulk.

M_tot: 0.09 Bohr magnetons per cell
energy of formation from the pure elements: 0.13 eV/atom
V: 17.69 Å³ per atom
ΔE to the lowest computed polymorph: 0.000 eV/atom
energy: -6.373 eV/atom

Cell lengths 4.5925, 4.5925, 8.7164 Å; angles 90.00, 90.00, 120.00 degrees
With the nearest neighbours (Å) after each atom.
Space group P3m1 (No. 156)
One atom of each set of equivalent atoms:
Er (0.0000, 0.0000, 0.0000)  6 Cu 2.90-3.00, 4 Os 2.98-3.12, 1 Er 3.02
Er (0.0000, 0.0000, 0.3460)  7 Os 2.72-2.98, 1 Er 3.02
Er (0.6667, 0.3333, 0.7813)  3 Cu 2.70, 4 Os 2.71-2.86
Cu (0.3333, 0.6667, 0.1356)  1 Cu 2.59, 3 Os 2.69, 3 Er 2.90
Cu (0.3333, 0.6667, 0.5505)  1 Cu 2.51, 3 Os 2.74
Cu (0.3333, 0.6667, 0.8382)  2 Cu 2.51-2.59, 3 Er 2.70
Os (0.0000, 0.0000, 0.6586)  5 Er 2.72-2.98, 3 Cu 2.81
Os (0.6667, 0.3333, 0.1888)  1 Os 2.45, 3 Cu 2.69
Os (0.6667, 0.3333, 0.4699)  1 Os 2.45, 1 Er 2.71, 3 Cu 2.74